No. 1
A plane-wave DFT calculation with GGA-PBE was carried out for crystalline TaMn2Ge2 at its relaxed geometry.

a = 7.072 Å, b = 7.072 Å, c = 2.838 Å
α = 90.00°, β = 90.00°, γ = 90.00°
Site moments in Bohr magnetons follow the coordinates.
Sites, in units of the cell vectors:
Mn 0.377 0.877 0.000  1.78
Mn 0.877 0.623 0.000  1.74
Mn 0.123 0.377 0.000  1.74
Mn 0.623 0.123 0.000  1.78
Ta 0.500 0.500 0.000  -0.05
Ta 0.000 0.000 0.000  -0.05
Ge 0.672 0.828 0.500  -0.07
Ge 0.828 0.328 0.500  -0.07
Ge 0.172 0.672 0.500  -0.07
Ge 0.328 0.172 0.500  -0.07

Calculated values
**Final energy**: -78.0 eV per cell
**Symmetry**: P4/mbm
**Crystal system**: tetragonal
**Calculated formation energy**: 0.08 eV/atom
**Theoretical density**: 10.206 Mg/m³


No. 2
A plane-wave DFT calculation with GGA-PBE was carried out for crystalline NiOsBr2 at its relaxed geometry.

a = 3.790 Å, b = 6.095 Å, c = 6.701 Å
α = 137.93°, β = 90.00°, γ = 90.00°
Sites, in units of the cell vectors:
Os 0.500 0.750 0.750
Br 0.000 0.627 0.895
Br 0.000 0.873 0.605
Ni 0.500 0.250 0.250

Calculated values
**Final energy**: -17.6 eV per cell
**Symmetry**: P2/m
**Distance to the lowest polymorph of the same formula**: 250 meV/atom
**Crystal system**: monoclinic
**Raw formation energy**: 2.79 eV/f.u.
**Theoretical density**: 6.545 Mg/m³


No. 3
A plane-wave DFT calculation with GGA-PBE was carried out for crystalline LaErPt2 at its relaxed geometry.

a = 4.088 Å, b = 4.088 Å, c = 7.424 Å
α = 74.02°, β = 74.02°, γ = 60.00°
Sites, in units of the cell vectors:
Pt 0.078 0.078 0.765
Pt 0.255 0.255 0.235
Er 0.669 0.669 0.992
La 0.497 0.497 0.509

Calculated values
**Final energy**: -25.9 eV per cell
**Symmetry**: R3m
**Distance to the lowest polymorph of the same formula**: 156 meV/atom
**Crystal system**: trigonal
**Calculated formation energy**: -1.08 eV/atom
**Theoretical density**: 11.352 Mg/m³


No. 4
A plane-wave DFT calculation with GGA-PBE was carried out for crystalline Ge2Bi2Sb at its relaxed geometry.

a = 9.221 Å, b = 9.221 Å, c = 3.262 Å
α = 90.00°, β = 90.00°, γ = 90.00°
Sites, in units of the cell vectors:
Sb 0.000 0.000 0.000
Sb 0.500 0.500 0.000
Bi 0.309 0.809 0.000
Bi 0.691 0.191 0.000
Bi 0.809 0.691 0.000
Bi 0.191 0.309 0.000
Ge 0.898 0.398 0.500
Ge 0.398 0.102 0.500
Ge 0.102 0.602 0.500
Ge 0.602 0.898 0.500

Calculated values
**Final energy**: -39.2 eV per cell
**Symmetry**: P4/mbm
**Distance to the lowest polymorph of the same formula**: 81 meV/atom
**Crystal system**: tetragonal
**Raw formation energy**: 1.50 eV/f.u.
**Theoretical density**: 8.203 Mg/m³


No. 5
A plane-wave DFT calculation with GGA-PBE was carried out for crystalline Ce3Tl2C at its relaxed geometry.

a = 5.036 Å, b = 7.204 Å, c = 8.728 Å
α = 90.00°, β = 73.23°, γ = 90.00°
Site moments in Bohr magnetons follow the coordinates.
Sites, in units of the cell vectors:
Tl 0.696 0.250 0.608  0.00
Tl 0.304 0.750 0.392  0.00
Tl 0.696 0.750 0.608  0.00
Tl 0.304 0.250 0.392  0.00
Ce 0.106 0.500 0.788  0.63
Ce 0.500 0.750 0.000  0.47
Ce 0.106 0.000 0.788  0.63
Ce 0.500 0.250 0.000  0.47
Ce 0.894 0.500 0.212  0.63
Ce 0.894 0.000 0.212  0.63
C 0.000 0.250 0.000  -0.04
C 0.000 0.750 0.000  -0.04

Calculated values
**Final energy**: -66.5 eV per cell
**Symmetry**: Cmmm
**Crystal system**: orthorhombic
**Calculated formation energy**: -0.25 eV/atom
**Theoretical density**: 9.214 Mg/m³


No. 6
A plane-wave DFT calculation with GGA-PBE was carried out for crystalline Rb3Cd4Pb2 at its relaxed geometry.

a = 5.127 Å, b = 7.329 Å, c = 10.470 Å
α = 99.57°, β = 90.00°, γ = 110.47°
Sites, in units of the cell vectors:
Rb 0.327 0.653 0.339
Rb 0.673 0.347 0.661
Rb 0.000 0.000 0.000
Pb 0.403 0.806 0.728
Pb 0.597 0.194 0.272
Cd 0.949 0.898 0.611
Cd 0.051 0.102 0.389
Cd 0.716 0.432 0.054
Cd 0.284 0.568 0.946

Calculated values
**Final energy**: -14.4 eV per cell
**Symmetry**: C2/m
**Distance to the lowest polymorph of the same formula**: 47 meV/atom
**Crystal system**: monoclinic
**Calculated formation energy**: -0.05 eV/atom
**Theoretical density**: 5.129 Mg/m³


No. 7
A plane-wave DFT calculation with GGA-PBE was carried out for crystalline La2ScCr at its relaxed geometry.

a = 6.250 Å, b = 6.250 Å, c = 3.407 Å
α = 79.91°, β = 79.91°, γ = 116.94°
Site moments in Bohr magnetons follow the coordinates.
Sites, in units of the cell vectors:
La 0.000 0.000 0.000  0.08
La 0.500 0.500 0.000  0.08
Sc 0.500 0.000 0.500  0.18
Cr 0.000 0.500 0.500  -3.67

Calculated values
**Final energy**: -24.0 eV per cell
**Symmetry**: C2/m
**Distance to the lowest polymorph of the same formula**: 204 meV/atom
**Crystal system**: monoclinic
**Calculated formation energy**: 0.46 eV/atom
**Theoretical density**: 5.569 Mg/m³


No. 8
A plane-wave DFT calculation with GGA-PBE was carried out for crystalline Cd2PtPb at its relaxed geometry.

a = 6.149 Å, b = 6.149 Å, c = 3.363 Å
α = 72.63°, β = 72.63°, γ = 119.33°
Sites, in units of the cell vectors:
Cd 0.000 0.000 0.000
Cd 0.500 0.500 0.000
Pt 0.000 0.500 0.500
Pb 0.500 0.000 0.500

Calculated values
**Final energy**: -11.4 eV per cell
**Symmetry**: C2/m
**Crystal system**: monoclinic
**Calculated formation energy**: 0.06 eV/atom
**Theoretical density**: 11.646 Mg/m³


No. 9
A plane-wave DFT calculation with GGA-PBE was carried out for crystalline Na4Np3InS8 at its relaxed geometry.

a = 8.083 Å, b = 8.079 Å, c = 8.084 Å
α = 120.03°, β = 120.00°, γ = 90.00°
Site moments in Bohr magnetons follow the coordinates.
Sites, in units of the cell vectors:
Np 0.500 0.500 0.500  3.76
Np 0.500 0.500 0.000  3.76
Np 0.000 0.500 0.500  3.76
S 0.757 0.276 0.514  -0.06
S 0.742 0.725 0.483  -0.09
S 0.262 0.275 0.019  -0.06
S 0.738 0.725 0.981  -0.06
S 0.258 0.275 0.517  -0.09
S 0.757 0.275 0.019  -0.06
S 0.243 0.724 0.486  -0.06
S 0.243 0.725 0.981  -0.06
In 0.000 0.500 0.000  0.07
Na 0.500 0.000 0.500  0.00
Na 0.000 0.000 0.500  0.00
Na 0.500 0.000 0.000  0.00
Na 0.000 0.000 0.000  0.00

Calculated values
**Final energy**: -99.2 eV per cell
**Symmetry**: R-3m
**Crystal system**: trigonal
**Raw formation energy**: -19.39 eV/f.u.
**Theoretical density**: 5.226 Mg/m³


No. 10
A plane-wave DFT calculation with GGA-PBE was carried out for crystalline YPd2Ru at its relaxed geometry.

a = 4.667 Å, b = 4.667 Å, c = 4.667 Å
α = 60.00°, β = 60.00°, γ = 60.00°
Site moments in Bohr magnetons follow the coordinates.
Sites, in units of the cell vectors:
Pd 0.750 0.750 0.750  0.11
Pd 0.250 0.250 0.250  0.11
Ru 0.500 0.500 0.500  1.07
Y 0.000 0.000 0.000  -0.02

Calculated values
**Final energy**: -26.9 eV per cell
**Symmetry**: Fm-3m
**Distance to the lowest polymorph of the same formula**: 0 meV/atom
**Crystal system**: cubic
**Calculated formation energy**: -0.20 eV/atom
**Theoretical density**: 9.308 Mg/m³


No. 11
A plane-wave DFT calculation with GGA-PBE was carried out for crystalline SrIn2BiPt at its relaxed geometry.

a = 5.185 Å, b = 5.185 Å, c = 5.859 Å
α = 90.00°, β = 90.00°, γ = 90.00°
Sites, in units of the cell vectors:
In 0.000 0.500 0.000
In 0.500 0.000 0.000
Bi 0.500 0.500 0.500
Pt 0.000 0.000 0.000
Sr 0.000 0.000 0.500

Calculated values
**Final energy**: -19.3 eV per cell
**Symmetry**: P4/mmm
**Crystal system**: tetragonal
**Calculated formation energy**: -0.45 eV/atom
**Theoretical density**: 7.605 Mg/m³


No. 12
A plane-wave DFT calculation with GGA-PBE was carried out for crystalline Mg3Au at its relaxed geometry.

a = 3.244 Å, b = 3.244 Å, c = 9.269 Å
α = 90.00°, β = 90.00°, γ = 120.00°
Sites, in units of the cell vectors:
Mg 0.333 0.667 0.223
Mg 0.333 0.667 0.777
Mg 0.000 0.000 0.500
Au 0.000 0.000 0.000

Calculated values
**Final energy**: -8.9 eV per cell
**Symmetry**: P-6m2
**Distance to the lowest polymorph of the same formula**: 206 meV/atom
**Crystal system**: hexagonal
**Calculated formation energy**: -0.21 eV/atom
**Theoretical density**: 5.306 Mg/m³


No. 13
A plane-wave DFT calculation with GGA-PBE was carried out for crystalline Dy3Al2Co7 at its relaxed geometry.

a = 5.152 Å, b = 5.152 Å, c = 8.343 Å
α = 72.02°, β = 72.02°, γ = 60.00°
Site moments in Bohr magnetons follow the coordinates.
Sites, in units of the cell vectors:
Co 0.583 0.084 0.750  0.73
Co 0.084 0.583 0.750  0.73
Co 0.500 0.500 0.500  1.24
Co 0.417 0.417 0.250  0.73
Co 0.417 0.916 0.250  0.73
Co 0.916 0.417 0.250  0.73
Co 0.583 0.583 0.750  0.73
Dy 0.140 0.140 0.580  -0.22
Dy 0.860 0.860 0.420  -0.22
Dy 0.000 0.000 0.000  -0.20
Al 0.667 0.667 0.000  -0.02
Al 0.333 0.333 0.000  -0.02

Calculated values
**Final energy**: -74.9 eV per cell
**Symmetry**: R-3m
**Crystal system**: trigonal
**Calculated formation energy**: -0.32 eV/atom
**Theoretical density**: 8.840 Mg/m³


No. 14
A plane-wave DFT calculation with GGA-PBE was carried out for crystalline SbRuAu2 at its relaxed geometry.

a = 5.167 Å, b = 5.167 Å, c = 5.167 Å
α = 134.60°, β = 131.04°, γ = 68.98°
Sites, in units of the cell vectors:
Au 0.991 0.991 0.000
Au 0.256 0.756 0.500
Ru 0.517 0.517 0.000
Sb 0.737 0.237 0.500

Calculated values
**Final energy**: -18.9 eV per cell
**Symmetry**: Imm2
**Crystal system**: orthorhombic
**Raw formation energy**: 1.02 eV/f.u.
**Theoretical density**: 14.085 Mg/m³


No. 15
A plane-wave DFT calculation with GGA-PBE was carried out for crystalline BaSr3Hg6 at its relaxed geometry.

a = 5.648 Å, b = 10.099 Å, c = 11.608 Å
α = 103.22°, β = 90.00°, γ = 90.00°
Sites, in units of the cell vectors:
Hg 0.750 0.927 0.055
Hg 0.250 0.201 0.222
Hg 0.250 0.838 0.301
Hg 0.750 0.799 0.778
Hg 0.750 0.382 0.312
Hg 0.250 0.469 0.094
Hg 0.750 0.750 0.491
Hg 0.250 0.618 0.688
Hg 0.250 0.073 0.945
Hg 0.250 0.250 0.509
Hg 0.750 0.162 0.699
Hg 0.750 0.531 0.906
Ba 0.250 0.939 0.633
Ba 0.750 0.061 0.367
Sr 0.750 0.247 0.022
Sr 0.750 0.461 0.610
Sr 0.250 0.539 0.390
Sr 0.250 0.753 0.978
Sr 0.750 0.658 0.195
Sr 0.250 0.342 0.805

Calculated values
**Final energy**: -26.9 eV per cell
**Symmetry**: P2_1/m
**Crystal system**: monoclinic
**Calculated formation energy**: -0.47 eV/atom
**Theoretical density**: 8.263 Mg/m³


No. 16
A plane-wave DFT calculation with GGA-PBE was carried out for crystalline Dy8Tm2Tl at its relaxed geometry.

a = 5.534 Å, b = 6.395 Å, c = 10.031 Å
α = 85.13°, β = 106.01°, γ = 90.00°
Sites, in units of the cell vectors:
Tm 0.243 0.664 0.486
Tm 0.757 0.336 0.514
Dy 0.955 0.267 0.911
Dy 0.579 0.403 0.159
Dy 0.421 0.597 0.841
Dy 0.155 0.200 0.310
Dy 0.662 0.879 0.325
Dy 0.338 0.121 0.675
Dy 0.045 0.733 0.089
Dy 0.845 0.800 0.690
Tl 0.500 0.000 0.000

Calculated values
**Final energy**: -48.4 eV per cell
**Symmetry**: C2/m
**Distance to the lowest polymorph of the same formula**: 3 meV/atom
**Crystal system**: monoclinic
**Calculated formation energy**: -0.03 eV/atom
**Theoretical density**: 9.001 Mg/m³


No. 17
A plane-wave DFT calculation with GGA-PBE was carried out for crystalline NdPaCoRu at its relaxed geometry.

a = 4.847 Å, b = 4.847 Å, c = 4.847 Å
α = 60.00°, β = 60.00°, γ = 60.00°
Sites, in units of the cell vectors:
Pa 0.250 0.250 0.250
Ru 0.000 0.000 0.000
Co 0.500 0.500 0.500
Nd 0.750 0.750 0.750

Calculated values
**Final energy**: -31.0 eV per cell
**Symmetry**: F-43m
**Crystal system**: cubic
**Calculated formation energy**: -0.09 eV/atom
**Theoretical density**: 11.041 Mg/m³


No. 18
A plane-wave DFT calculation with GGA-PBE was carried out for crystalline BePRh2 at its relaxed geometry.

a = 5.100 Å, b = 5.100 Å, c = 6.161 Å
α = 65.55°, β = 65.55°, γ = 90.00°
Sites, in units of the cell vectors:
Rh 0.137 0.625 0.250
Rh 0.875 0.863 0.750
Rh 0.375 0.387 0.750
Rh 0.613 0.125 0.250
P 0.750 0.250 0.500
P 0.000 0.000 0.000
Be 0.250 0.750 0.500
Be 0.500 0.500 0.000

Calculated values
**Final energy**: -48.2 eV per cell
**Symmetry**: I-42d
**Distance to the lowest polymorph of the same formula**: 502 meV/atom
**Crystal system**: tetragonal
**Calculated formation energy**: -0.06 eV/atom
**Theoretical density**: 6.283 Mg/m³


No. 19
A plane-wave DFT calculation with GGA-PBE was carried out for crystalline HfCd3Co at its relaxed geometry.

a = 5.556 Å, b = 5.556 Å, c = 5.556 Å
α = 90.00°, β = 90.00°, γ = 90.00°
Site moments in Bohr magnetons follow the coordinates.
Sites, in units of the cell vectors:
Cd 0.000 0.500 0.000  -0.05
Cd 0.500 0.000 0.000  -0.06
Cd 0.000 0.000 0.500  -0.02
Co 0.500 0.500 0.500  2.20
Hf 0.000 0.000 0.000  -0.53

Calculated values
**Final energy**: -12.1 eV per cell
**Symmetry**: Pm-3m
**Distance to the lowest polymorph of the same formula**: 832 meV/atom
**Crystal system**: cubic
**Calculated formation energy**: 1.53 eV/atom
**Theoretical density**: 5.563 Mg/m³


No. 20
A plane-wave DFT calculation with GGA-PBE was carried out for crystalline TbFe2Ge4 at its relaxed geometry.

a = 4.027 Å, b = 6.609 Å, c = 16.724 Å
α = 90.00°, β = 90.00°, γ = 90.00°
Sites, in units of the cell vectors:
Ge 0.250 0.497 0.439
Ge 0.750 0.997 0.061
Ge 0.250 0.752 0.189
Ge 0.750 0.825 0.804
Ge 0.250 0.325 0.696
Ge 0.250 0.003 0.939
Ge 0.750 0.865 0.476
Ge 0.750 0.252 0.311
Ge 0.250 0.135 0.524
Ge 0.250 0.175 0.196
Ge 0.750 0.248 0.811
Ge 0.250 0.365 0.024
Ge 0.250 0.748 0.689
Ge 0.750 0.635 0.976
Ge 0.750 0.503 0.561
Ge 0.750 0.675 0.304
Tb 0.750 0.047 0.643
Tb 0.750 0.453 0.143
Tb 0.250 0.547 0.857
Tb 0.250 0.953 0.357
Fe 0.750 0.244 0.458
Fe 0.250 0.468 0.295
Fe 0.750 0.968 0.205
Fe 0.250 0.756 0.542
Fe 0.750 0.256 0.958
Fe 0.250 0.744 0.042
Fe 0.750 0.532 0.705
Fe 0.250 0.032 0.795

Calculated values
**Final energy**: -168.8 eV per cell
**Symmetry**: Pnma
**Crystal system**: orthorhombic
**Calculated formation energy**: -0.31 eV/atom
**Theoretical density**: 8.374 Mg/m³


No. 21
A plane-wave DFT calculation with GGA-PBE was carried out for crystalline Th4PtAu2 at its relaxed geometry.

a = 4.632 Å, b = 7.538 Å, c = 11.778 Å
α = 90.00°, β = 90.00°, γ = 90.00°
Sites, in units of the cell vectors:
Au 0.500 0.091 0.191
Au 0.500 0.591 0.309
Au 0.500 0.409 0.691
Au 0.500 0.909 0.809
Th 0.000 0.645 0.777
Th 0.500 0.262 0.957
Th 0.500 0.238 0.457
Th 0.000 0.355 0.223
Th 0.500 0.762 0.543
Th 0.500 0.738 0.043
Th 0.000 0.855 0.277
Th 0.000 0.145 0.723
Pt 0.000 0.000 0.500
Pt 0.000 0.500 0.000

Calculated values
**Final energy**: -92.4 eV per cell
**Symmetry**: Pbam
**Crystal system**: orthorhombic
**Calculated formation energy**: -0.56 eV/atom
**Theoretical density**: 12.252 Mg/m³


No. 22
A plane-wave DFT calculation with GGA-PBE was carried out for crystalline LiGa8Pd5 at its relaxed geometry.

a = 6.716 Å, b = 6.716 Å, c = 6.716 Å
α = 113.45°, β = 101.78°, γ = 113.45°
Sites, in units of the cell vectors:
Pd 0.867 0.942 0.247
Pd 0.305 0.058 0.925
Pd 0.500 0.000 0.500
Pd 0.075 0.380 0.133
Pd 0.753 0.620 0.695
Ga 0.128 0.752 0.069
Ga 0.317 0.248 0.377
Ga 0.673 0.403 0.933
Ga 0.623 0.941 0.872
Ga 0.530 0.597 0.270
Ga 0.931 0.059 0.683
Ga 0.730 0.261 0.327
Ga 0.067 0.739 0.470
Li 0.250 0.500 0.750

Calculated values
**Final energy**: -57.9 eV per cell
**Symmetry**: I-4
**Crystal system**: tetragonal
**Calculated formation energy**: -0.42 eV/atom
**Theoretical density**: 7.915 Mg/m³


No. 23
A plane-wave DFT calculation with GGA-PBE was carried out for crystalline LiY2RhN at its relaxed geometry.

a = 4.781 Å, b = 4.781 Å, c = 3.837 Å
α = 90.00°, β = 90.00°, γ = 90.00°
Sites, in units of the cell vectors:
Y 0.500 0.000 0.000
Y 0.000 0.500 0.000
Rh 0.500 0.500 0.500
N 0.000 0.000 0.000
Li 0.000 0.000 0.500

Calculated values
**Final energy**: -34.8 eV per cell
**Symmetry**: P4/mmm
**Crystal system**: tetragonal
**Raw formation energy**: -4.26 eV/f.u.
**Theoretical density**: 5.712 Mg/m³